Record 1
Entry from OQMD: a relaxed NdAlB4 crystal (PBE).

## Properties
energy above the most stable polymorph in this dataset: 92 meV per atom
crystal system: orthorhombic
magnetic moment: 0.001 Bohr magnetons per cell
symmetry: Immm, No. 71

```
data_NdAlB4
_cell_length_a 5.123
_cell_length_b 5.123
_cell_length_c 5.123
_cell_angle_alpha 143.18
_cell_angle_beta 117.91
_cell_angle_gamma 74.42
_symmetry_space_group_name_H-M 'P 1'
_symmetry_Int_Tables_number 1
loop_
_symmetry_equiv_pos_as_xyz
'x,y,z'
loop_
_atom_site_label
_atom_site_fract_x
_atom_site_fract_y
_atom_site_fract_z
_atom_site_occupancy
Nd1 0.000 0.000 0.000 1
Al1 0.500 0.500 0.000 1
B1 0.069 0.742 0.327 1
B2 0.414 0.742 0.673 1
B3 0.586 0.258 0.327 1
B4 0.931 0.258 0.673 1
```


Record 2
Entry from OQMD: a relaxed NdAlB4 crystal (PBE).

## Properties
energy above the most stable polymorph in this dataset: 0 meV per atom
crystal system: hexagonal
magnetic moment: 0.001 Bohr magnetons per cell
symmetry: P6/mmm, No. 191

```
data_NdAlB4
_cell_length_a 3.118
_cell_length_b 3.118
_cell_length_c 7.565
_cell_angle_alpha 90.00
_cell_angle_beta 90.00
_cell_angle_gamma 120.00
_symmetry_space_group_name_H-M 'P 1'
_symmetry_Int_Tables_number 1
loop_
_symmetry_equiv_pos_as_xyz
'x,y,z'
loop_
_atom_site_label
_atom_site_fract_x
_atom_site_fract_y
_atom_site_fract_z
_atom_site_occupancy
Nd1 0.000 0.000 0.000 1
Al1 0.000 0.000 0.500 1
B1 0.333 0.667 0.293 1
B2 0.333 0.667 0.707 1
B3 0.667 0.333 0.293 1
B4 0.667 0.333 0.707 1
```


Record 3
Entry from OQMD: a relaxed NdAl3B4O12 crystal (PBE).

## Properties
uncorrected energy: -7.92 eV per atom
crystal system: trigonal
magnetic moment: 0.001 Bohr magnetons per cell
symmetry: R32, No. 155

```
data_NdAl3B4O12
_cell_length_a 5.915
_cell_length_b 5.915
_cell_length_c 5.915
_cell_angle_alpha 104.42
_cell_angle_beta 104.42
_cell_angle_gamma 104.42
_symmetry_space_group_name_H-M 'P 1'
_symmetry_Int_Tables_number 1
loop_
_symmetry_equiv_pos_as_xyz
'x,y,z'
loop_
_atom_site_label
_atom_site_fract_x
_atom_site_fract_y
_atom_site_fract_z
_atom_site_occupancy
Nd1 0.000 0.000 0.000 1
Al1 0.000 0.556 0.444 1
Al2 0.444 0.000 0.556 1
Al3 0.556 0.444 0.000 1
B1 0.059 0.500 0.941 1
B2 0.500 0.500 0.500 1
B3 0.500 0.941 0.059 1
B4 0.941 0.059 0.500 1
O1 0.029 0.622 0.774 1
O2 0.090 0.910 0.500 1
O3 0.226 0.378 0.971 1
O4 0.351 0.649 0.500 1
O5 0.378 0.971 0.226 1
O6 0.500 0.090 0.910 1
O7 0.500 0.351 0.649 1
O8 0.622 0.774 0.029 1
O9 0.649 0.500 0.351 1
O10 0.774 0.029 0.622 1
O11 0.910 0.500 0.090 1
O12 0.971 0.226 0.378 1
```


Record 4
Entry from OQMD: a relaxed NdAl3B4O12 crystal (PBE).

## Properties
uncorrected energy: -7.92 eV per atom
crystal system: monoclinic
magnetic moment: 0.001 Bohr magnetons per cell
symmetry: C2/c, No. 15

```
data_NdAl3B4O12
_cell_length_a 5.922
_cell_length_b 5.922
_cell_length_c 11.085
_cell_angle_alpha 97.94
_cell_angle_beta 97.94
_cell_angle_gamma 104.58
_symmetry_space_group_name_H-M 'P 1'
_symmetry_Int_Tables_number 1
loop_
_symmetry_equiv_pos_as_xyz
'x,y,z'
loop_
_atom_site_label
_atom_site_fract_x
_atom_site_fract_y
_atom_site_fract_z
_atom_site_occupancy
Nd1 0.038 0.962 0.750 1
Nd2 0.962 0.038 0.250 1
Al1 0.194 0.694 0.471 1
Al2 0.306 0.806 0.029 1
Al3 0.411 0.589 0.250 1
Al4 0.589 0.411 0.750 1
Al5 0.694 0.194 0.971 1
Al6 0.806 0.306 0.529 1
B1 0.122 0.492 0.778 1
B2 0.223 0.281 0.005 1
B3 0.281 0.223 0.505 1
B4 0.492 0.122 0.278 1
B5 0.508 0.878 0.722 1
B6 0.719 0.777 0.495 1
B7 0.777 0.719 0.995 1
B8 0.878 0.508 0.222 1
O1 0.004 0.806 0.062 1
O2 0.103 0.577 0.295 1
O3 0.130 0.369 0.496 1
O4 0.182 0.696 0.863 1
O5 0.194 0.996 0.438 1
O6 0.271 0.354 0.758 1
O7 0.303 0.507 0.074 1
O8 0.304 0.818 0.637 1
O9 0.354 0.271 0.258 1
O10 0.369 0.130 0.996 1
O11 0.423 0.897 0.205 1
O12 0.493 0.697 0.426 1
O13 0.507 0.303 0.574 1
O14 0.577 0.103 0.795 1
O15 0.631 0.870 0.004 1
O16 0.646 0.729 0.742 1
O17 0.696 0.182 0.363 1
O18 0.697 0.493 0.926 1
O19 0.729 0.646 0.242 1
O20 0.806 0.004 0.562 1
O21 0.818 0.304 0.137 1
O22 0.870 0.631 0.504 1
O23 0.897 0.423 0.705 1
O24 0.996 0.194 0.938 1
```